(1)
DFT (GGA-PBE) results for an optimized crystal structure of LaLuPuTh.

## Properties
DFT total energy   -7.61 eV per atom
ρ   10.51 Mg/m³

a b c (Å): 5.610 5.610 5.610
angles (deg): 60.00 60.00 60.00
Fractional positions:
La 0.000 0.000 0.000
Lu 0.250 0.250 0.250
Pu 0.750 0.750 0.750
Th 0.500 0.500 0.500

(2)
DFT (GGA-PBE) results for an optimized crystal structure of LaLuPuTl.

## Properties
DFT total energy   -6.49 eV per atom
ρ   10.58 Mg/m³

a b c (Å): 5.531 5.531 5.531
angles (deg): 60.00 60.00 60.00
Fractional positions:
La 0.000 0.000 0.000
Lu 0.250 0.250 0.250
Pu 0.500 0.500 0.500
Tl 0.750 0.750 0.750

(3)
DFT (GGA-PBE) results for an optimized crystal structure of LaTmLuPu.

## Properties
DFT total energy   -6.87 eV per atom
ρ   9.62 Mg/m³

a b c (Å): 5.619 5.619 5.619
angles (deg): 60.00 60.00 60.00
Fractional positions:
La 0.000 0.000 0.000
Tm 0.250 0.250 0.250
Lu 0.750 0.750 0.750
Pu 0.500 0.500 0.500

(4)
DFT (GGA-PBE) results for an optimized crystal structure of LaLu2Rh.

## Properties
DFT total energy   -5.82 eV per atom
ρ   9.44 Mg/m³

a b c (Å): 3.437 3.437 8.813
angles (deg): 90.00 90.00 90.00
Fractional positions:
La 0.000 0.000 0.000
Lu 0.500 0.500 0.319
Lu 0.500 0.500 0.681
Rh 0.000 0.000 0.500

(5)
DFT (GGA-PBE) results for an optimized crystal structure of LaLuRh4.

## Properties
DFT total energy   -7.17 eV per atom
ρ   10.97 Mg/m³

a b c (Å): 5.375 5.375 5.375
angles (deg): 60.00 60.00 60.00
Fractional positions:
La 0.000 0.000 0.000
Lu 0.750 0.750 0.750
Rh 0.375 0.375 0.375
Rh 0.375 0.375 0.874
Rh 0.375 0.874 0.375
Rh 0.874 0.375 0.375

(6)
DFT (GGA-PBE) results for an optimized crystal structure of LaLuTlRh.

## Properties
DFT total energy   -5.22 eV per atom
ρ   10.32 Mg/m³

a b c (Å): 5.209 5.209 5.209
angles (deg): 60.00 60.00 60.00
Fractional positions:
La 0.000 0.000 0.000
Lu 0.500 0.500 0.500
Tl 0.750 0.750 0.750
Rh 0.250 0.250 0.250

(7)
DFT (GGA-PBE) results for an optimized crystal structure of LaLuZnRh.

## Properties
DFT total energy   -5.06 eV per atom
ρ   8.93 Mg/m³

a b c (Å): 5.023 5.023 5.023
angles (deg): 60.00 60.00 60.00
Fractional positions:
La 0.000 0.000 0.000
Lu 0.500 0.500 0.500
Zn 0.250 0.250 0.250
Rh 0.750 0.750 0.750

(8)
DFT (GGA-PBE) results for an optimized crystal structure of LaLu2Ru.

## Properties
Offset from the most stable computed form   22.9 kJ per mole of atoms
DFT total energy   -5.89 eV per atom
ρ   9.06 Mg/m³

a b c (Å): 10.053 10.053 10.053
angles (deg): 20.41 20.41 20.41
Fractional positions:
La 0.000 0.000 0.000
Lu 0.228 0.228 0.228
Lu 0.772 0.772 0.772
Ru 0.500 0.500 0.500